The following is a DFT calculation (PBE with a Hubbard U) of Na3Dy2CrO6 after structural relaxation.

**Space-group type**: C2/m, No. 12
**Final energy**: -6.663 eV/atom

a = 5.7182 Å, b = 5.7182 Å, c = 5.8518 Å
α = 99.16°, β = 99.16°, γ = 120.09°
With the nearest neighbours (Å) after each atom.
Fractional coordinates of all 12 atoms:
O 0.3782 0.0682 0.2081  1 Cr 2.12, 2 Dy 2.29
O 0.2435 0.2435 0.7957  1 Cr 2.10, 2 Dy 2.28
O 0.7565 0.7565 0.2043  1 Cr 2.10, 2 Dy 2.28
O 0.0682 0.3782 0.2081  1 Cr 2.12, 2 Dy 2.29
O 0.9318 0.6218 0.7919  1 Cr 2.12, 2 Dy 2.29
O 0.6218 0.9318 0.7919  1 Cr 2.12, 2 Dy 2.29
Dy 0.6672 0.3328 0.0000  6 O 2.28-2.29
Dy 0.3328 0.6672 0.0000  6 O 2.28-2.29
Na 0.8442 0.1558 0.5000  6 O 2.40-2.69
Na 0.1558 0.8442 0.5000  6 O 2.40-2.69
Na 0.5000 0.5000 0.5000  6 O 2.46-2.60
Cr 0.0000 0.0000 0.0000  6 O 2.10-2.12